[1]
VASP calculation (PBE-GGA) on an optimized crystal structure of KMgNiRu2.

Cell: 4.8197 4.7085 4.8197 Å, 90.00 90.00 90.00°
With the nearest neighbours (Å) after each atom.
Positions (direct):
Ru 0.0000 0.0000 0.5000  2 Mg 2.41
Ru 0.5000 0.0000 0.0000  2 Mg 2.41
K 0.5000 0.5000 0.5000  8 Ru 3.37, 4 Ni 3.41
Ni 0.0000 0.5000 0.0000  2 Mg 2.35
Mg 0.0000 0.0000 0.0000  2 Ni 2.35, 4 Ru 2.41

- Fermi-level density of states: 7.44 states/eV/f.u.
- Space group: No. 123
- Calculated total energy: -19.23 eV per formula unit
- ΔE_f: 7.8 eV per formula unit

---

[2]
VASP calculation (PBE-GGA) on an optimized crystal structure of KRh3O.

Cell: 4.8475 4.8475 4.8475 Å, 90.00 90.00 90.00°
With the nearest neighbours (Å) after each atom.
Positions (direct):
Rh 0.0000 0.0000 0.5000  2 K 2.42
Rh 0.0000 0.5000 0.0000  2 K 2.42
Rh 0.5000 0.0000 0.0000  2 K 2.42
K 0.0000 0.0000 0.0000  6 Rh 2.42
O 0.5000 0.5000 0.5000  12 Rh 3.43

- ΔE_f (raw): 2.716 eV per atom
- Fermi-level density of states: 8.70 states/eV/f.u.
- Space group: No. 221
- Calculated total energy: -14.53 eV per formula unit
- Offset from the most stable computed form: 2.235 eV per atom

---

[3]
VASP calculation (PBE-GGA) on an optimized crystal structure of Tb3PrY6Sc2.

Cell: 6.1097 6.1097 11.7085 Å, 94.97 94.97 119.96°
With the nearest neighbours (Å) after each atom.
Positions (direct):
Y 0.7462 0.7462 0.2465  2 Sc 3.49, 1 Pr 3.51, 6 Y 3.51-3.56, 3 Tb 3.55-3.57
Y 0.9170 0.5808 0.7534  2 Sc 3.49, 1 Pr 3.51, 6 Y 3.51-3.56, 3 Tb 3.55-3.57
Y 0.4192 0.0830 0.2466  2 Sc 3.49, 1 Pr 3.51, 6 Y 3.51-3.56, 3 Tb 3.55-3.57
Y 0.2538 0.2538 0.7535  2 Sc 3.49, 1 Pr 3.51, 6 Y 3.51-3.56, 3 Tb 3.55-3.57
Y 0.0830 0.4192 0.2466  2 Sc 3.49, 1 Pr 3.51, 6 Y 3.51-3.56, 3 Tb 3.55-3.57
Y 0.5808 0.9170 0.7534  2 Sc 3.49, 1 Pr 3.51, 6 Y 3.51-3.56, 3 Tb 3.55-3.57
Tb 0.1673 0.8327 0.5000  6 Tb 3.52-3.54, 6 Y 3.55-3.57
Tb 0.5000 0.5000 0.5000  6 Tb 3.52-3.53, 6 Y 3.55-3.57
Tb 0.8327 0.1673 0.5000  6 Tb 3.52-3.54, 6 Y 3.55-3.57
Sc 0.6667 0.3333 0.0000  6 Y 3.49, 3 Pr 3.53, 3 Sc 3.53
Sc 0.3333 0.6667 0.0000  6 Y 3.49, 3 Pr 3.53, 3 Sc 3.53
Pr 0.0000 0.0000 0.0000  6 Y 3.51, 6 Sc 3.53

- Fermi-level density of states: 17.60 states/eV/f.u.
- Space group: No. 12
- Calculated total energy: -69.62 eV per formula unit
- ΔE_f: 0.5 eV per formula unit

---

[4]
VASP calculation (PBE-GGA) on an optimized crystal structure of Pm2HfThP4.

Cell: 4.0221 6.9553 6.9930 Å, 109.31 90.00 90.00°
With the nearest neighbours (Å) after each atom.
Positions (direct):
Pm 0.5000 0.0000 0.5000  6 P 2.85
Pm 0.0000 0.5000 0.5000  6 P 2.97
P 0.5000 0.2296 0.2299  2 Hf 2.74, 3 Pm 2.85-2.97, 1 Th 2.85
P 0.0000 0.7617 0.2393  1 Hf 2.72, 3 Pm 2.85-2.97, 2 Th 2.85
P 0.0000 0.2383 0.7607  1 Hf 2.72, 3 Pm 2.85-2.97, 2 Th 2.85
P 0.5000 0.7704 0.7701  2 Hf 2.74, 3 Pm 2.85-2.97, 1 Th 2.85
Th 0.5000 0.5000 0.0000  6 P 2.85
Hf 0.0000 0.0000 0.0000  6 P 2.72-2.74

- Fermi-level density of states: 3.70 states/eV/f.u.
- Space group: No. 10
- Calculated total energy: -60.15 eV per formula unit
- ΔE_f: -11.6 eV per formula unit